[1]
# PBE La2PPb, relaxed
data_La2PPb
_chemical_formula_sum 'La4 P2 Pb2'
_cell_length_a 7.262
_cell_length_b 4.188
_cell_length_c 8.637
_cell_angle_alpha 90.00
_cell_angle_beta 106.18
_cell_angle_gamma 90.00
_symmetry_space_group_name_H-M 'C 1 2/m 1'
_symmetry_Int_Tables_number 12
_symmetry_space_group_name_Hall '-C 2y'
loop_
_atom_site_label
_atom_site_fract_x
_atom_site_fract_y
_atom_site_fract_z
La1 0.234 0.000 0.205
P1 0.000 0.500 0.000
Pb1 0.000 0.000 0.500
# E_tot = -5.800 eV/atom
# Calculated volume = 252.2 Å³/cell
# ΔH_f (0 K) = -1.06 eV/atom
# E above lowest polymorph = 0.000 eV/atom

=====

[2]
# PBE CsMgMo3, relaxed
data_CsMgMo3
_chemical_formula_sum 'Cs1 Mg1 Mo3'
_cell_length_a 5.221
_cell_length_b 5.221
_cell_length_c 5.221
_cell_angle_alpha 90.00
_cell_angle_beta 90.00
_cell_angle_gamma 90.00
_symmetry_space_group_name_H-M 'P m -3 m'
_symmetry_Int_Tables_number 221
_symmetry_space_group_name_Hall '-P 4 2 3'
loop_
_atom_site_label
_atom_site_fract_x
_atom_site_fract_y
_atom_site_fract_z
Cs1 0.000 0.000 0.000
Mg1 0.500 0.500 0.500
Mo1 0.000 0.500 0.500
# E_tot = -4.454 eV/atom
# Calculated volume = 142.3 Å³/cell
# ΔH_f (0 K) = 2.53 eV/atom
# E above lowest polymorph = 0.000 eV/atom